An optimized crystal structure of Cu2TeAu. Source: Alexandria via LeMat-Bulk, functional PBEsol.

```
data_Cu2TeAu
_symmetry_space_group_name_H-M 'I m m 2'
_symmetry_Int_Tables_number 44
_cell_length_a 3.850
_cell_length_b 3.905
_cell_length_c 8.658
_cell_angle_alpha 90.00
_cell_angle_beta 90.00
_cell_angle_gamma 90.00
loop_
_symmetry_equiv_pos_as_xyz
'x,y,z'
'-x,-y,z'
'-x,y,z'
'x,-y,z'
'x+1/2,y+1/2,z+1/2'
'-x+1/2,-y+1/2,z+1/2'
'-x+1/2,y+1/2,z+1/2'
'x+1/2,-y+1/2,z+1/2'
loop_
_atom_site_label
_atom_site_fract_x
_atom_site_fract_y
_atom_site_fract_z
_atom_site_occupancy
Cu1 0.000 0.000 0.000 1
Cu2 0.000 0.500 0.254 1
Te1 0.000 0.500 0.752 1
Au1 0.000 0.000 0.504 1
```

Summary:
D(E_F) ... 2.587 states/eV per cell
Formation energy (no corrections) ... 0.174 eV/atom
Uncorrected energy ... -30.84 eV/cell

***

An optimized crystal structure of CuTeAu. Source: Alexandria via LeMat-Bulk, functional PBEsol.

```
data_CuTeAu
_symmetry_space_group_name_H-M 'P 3 m 1'
_symmetry_Int_Tables_number 156
_cell_length_a 3.9464
_cell_length_b 3.9464
_cell_length_c 4.3217
_cell_angle_alpha 90.00
_cell_angle_beta 90.00
_cell_angle_gamma 120.00
loop_
_symmetry_equiv_pos_as_xyz
'x,y,z'
'-y,x-y,z'
'-x+y,-x,z'
'-y,-x,z'
'-x+y,y,z'
'x,x-y,z'
loop_
_atom_site_label
_atom_site_fract_x
_atom_site_fract_y
_atom_site_fract_z
_atom_site_occupancy
Cu1 0.0000 0.0000 0.0000 1
Te1 0.3333 0.6667 0.6958 1
Au1 0.6667 0.3333 0.2910 1
```

Summary:
D(E_F) ... 1.445 states/eV per cell
Formation energy (no corrections) ... 0.138 eV/atom
Uncorrected energy ... -11.37 eV/cell